The following is a DFT calculation (PBE) of LaLuMgPd after structural relaxation.

a b c (Å): 5.0885 5.0885 5.0885
angles (deg): 60.00 60.00 60.00
Element x y z (fractional)
La  0.0000  0.0000  0.0000
Lu  0.7500  0.7500  0.7500
Mg  0.5000  0.5000  0.5000
Pd  0.2500  0.2500  0.2500

Computed properties:
- ρ: 7.924 g/cm3
- Polymorph energy (0 for the lowest one): 0.40 eV per formula unit
- Size of the total moment: 0.001 μB/f.u.
- SG: F-43m
- Electronic total energy: -4.314 eV per atom

The following is a DFT calculation (PBE) of K2DyHgF6 after structural relaxation.

a b c (Å): 6.2680 6.2680 6.2680
angles (deg): 122.05 122.05 86.49
Element x y z (fractional)
K  0.2500  0.7500  0.5000
K  0.7500  0.2500  0.5000
Dy  0.0000  0.0000  0.0000
Hg  0.5000  0.5000  0.0000
F  0.1310  0.6740  0.8050
F  0.2338  0.2338  0.0000
F  0.3260  0.1310  0.4571
F  0.6740  0.8690  0.5429
F  0.7662  0.7662  0.0000
F  0.8690  0.3260  0.1950

Computed properties:
- ρ: 5.476 g/cm3
- Size of the total moment: 0.856 μB/f.u.
- SG: I4/m
- Electronic total energy: -4.643 eV per atom

The following is a DFT calculation (PBE) of La2PrNi6Pt3 after structural relaxation.

a b c (Å): 9.1331 9.1331 9.1331
angles (deg): 33.08 33.08 33.08
Element x y z (fractional)
La  0.1375  0.1375  0.1375
La  0.8625  0.8625  0.8625
Pr  0.0000  0.0000  0.0000
Ni  0.0807  0.5833  0.5833
Ni  0.4167  0.4167  0.9193
Ni  0.4167  0.9193  0.4167
Ni  0.5833  0.0807  0.5833
Ni  0.5833  0.5833  0.0807
Ni  0.9193  0.4167  0.4167
Pt  0.3325  0.3325  0.3325
Pt  0.5000  0.5000  0.5000
Pt  0.6675  0.6675  0.6675

Computed properties:
- ρ: 11.151 g/cm3
- Energy of formation: -0.554 eV per atom
- Size of the total moment: 0.638 μB/f.u.
- SG: R-3m
- Electronic total energy: -6.070 eV per atom

The following is a DFT calculation (PBE) of Mg2ZrSn after structural relaxation.

a b c (Å): 4.9963 4.9963 4.9963
angles (deg): 60.00 60.00 60.00
Element x y z (fractional)
Mg  0.0000  0.0000  0.0000
Mg  0.2500  0.2500  0.2500
Zr  0.7500  0.7500  0.7500
Sn  0.5000  0.5000  0.5000

Computed properties:
- ρ: 4.868 g/cm3
- Size of the total moment: 0.002 μB/f.u.
- SG: F-43m
- Electronic total energy: -3.891 eV per atom

The following is a DFT calculation (PBE) of HoSi2Pt after structural relaxation.

a b c (Å): 4.3756 4.5838 7.5256
angles (deg): 90.00 90.00 90.00
Element x y z (fractional)
Ho  0.0000  0.0482  0.0000
Ho  0.0000  0.9518  0.5000
Si  0.0000  0.4998  0.2480
Si  0.0000  0.5002  0.7480
Si  0.5000  0.2260  0.7057
Si  0.5000  0.7740  0.2057
Pt  0.5000  0.2706  0.3433
Pt  0.5000  0.7294  0.8433

Computed properties:
- ρ: 9.157 g/cm3
- Size of the total moment: 0.002 μB/f.u.
- SG: Pmc2_1
- Electronic total energy: -6.010 eV per atom

The following is a DFT calculation (PBE) of KPuAg after structural relaxation.

a b c (Å): 5.4140 5.4140 5.4140
angles (deg): 60.00 60.00 60.00
Element x y z (fractional)
K  0.0000  0.0000  0.0000
Pu  0.5000  0.5000  0.5000
Ag  0.2500  0.2500  0.2500

Computed properties:
- ρ: 5.786 g/cm3
- Polymorph energy (0 for the lowest one): 0.00 eV per formula unit
- Size of the total moment: 6.145 μB/f.u.
- SG: F-43m
- Electronic total energy: -5.484 eV per atom

The following is a DFT calculation (PBE) of BiAu after structural relaxation.

a b c (Å): 4.5416 4.5416 4.5416
angles (deg): 60.00 60.00 60.00
Element x y z (fractional)
Bi  0.0000  0.0000  0.0000
Au  0.2500  0.2500  0.2500

Computed properties:
- ρ: 10.177 g/cm3
- SG: F-43m
- Electronic total energy: -3.441 eV per atom

The following is a DFT calculation (PBE) of LaPmGa after structural relaxation.

a b c (Å): 5.1287 5.1287 5.1287
angles (deg): 60.00 60.00 60.00
Element x y z (fractional)
La  0.0000  0.0000  0.0000
Pm  0.5000  0.5000  0.5000
Ga  0.2500  0.2500  0.2500

Computed properties:
- ρ: 6.156 g/cm3
- Size of the total moment: 0.555 μB/f.u.
- SG: F-43m
- Electronic total energy: -4.492 eV per atom

The following is a DFT calculation (PBE) of TbErPd2 after structural relaxation.

a b c (Å): 4.4764 6.8834 5.6653
angles (deg): 90.00 90.00 90.00
Element x y z (fractional)
Tb  0.0000  0.0683  0.0000
Tb  0.5000  0.9316  0.5000
Er  0.0000  0.5682  0.2148
Er  0.5000  0.4318  0.7148
Pd  0.0000  0.2142  0.5123
Pd  0.0000  0.7009  0.7031
Pd  0.5000  0.2991  0.2031
Pd  0.5000  0.7858  0.0123

Computed properties:
- ρ: 10.255 g/cm3
- Polymorph energy (0 for the lowest one): 0.02 eV per formula unit
- Energy of formation: -0.931 eV per atom
- Size of the total moment: 0.003 μB/f.u.
- SG: Pmn2_1
- Electronic total energy: -5.817 eV per atom

The following is a DFT calculation (PBE) of Tb2HoAl3Si2Pt after structural relaxation.

a b c (Å): 4.2259 6.9226 6.9226
angles (deg): 120.01 90.00 90.00
Element x y z (fractional)
Tb  0.0000  0.2087  0.7913
Tb  0.0000  0.7913  0.2087
Ho  0.0000  0.3744  0.3744
Al  0.5000  0.0284  0.0284
Al  0.5000  0.5540  0.7905
Al  0.5000  0.7905  0.5540
Si  0.5000  0.1257  0.4573
Si  0.5000  0.4573  0.1257
Pt  0.0000  0.7891  0.7891

Computed properties:
- ρ: 7.717 g/cm3
- Size of the total moment: 0.007 μB/f.u.
- SG: Amm2
- Electronic total energy: -5.540 eV per atom

The following is a DFT calculation (PBE) of NaPmSeO after structural relaxation.

a b c (Å): 4.0791 4.0791 10.9285
angles (deg): 99.64 99.64 89.98
Element x y z (fractional)
Na  0.2073  0.2073  0.4055
Na  0.7927  0.7927  0.5945
Pm  0.5228  0.0769  0.1066
Pm  0.9231  0.4772  0.8934
Se  0.3299  0.3252  0.6819
Se  0.6748  0.6701  0.3181
O  0.4703  0.5297  0.0000
O  0.9714  0.0286  0.0000

Computed properties:
- ρ: 4.943 g/cm3
- Polymorph energy (0 for the lowest one): 0.00 eV per formula unit
- Size of the total moment: 0.000 μB/f.u.
- SG: C2
- Electronic total energy: -5.856 eV per atom

The following is a DFT calculation (PBE) of CuSbIrW after structural relaxation.

a b c (Å): 4.5185 4.5185 4.5185
angles (deg): 60.00 60.00 60.00
Element x y z (fractional)
Cu  0.0000  0.0000  0.0000
Sb  0.7500  0.7500  0.7500
Ir  0.5000  0.5000  0.5000
W  0.2500  0.2500  0.2500

Computed properties:
- ρ: 14.290 g/cm3
- Polymorph energy (0 for the lowest one): 0.53 eV per formula unit
- Size of the total moment: 0.030 μB/f.u.
- SG: F-43m
- Electronic total energy: -6.882 eV per atom

| no. | V (Å³/cell) |
| --- | --- |
| 1 | 93.17 |
| 2 | 168.39 |
| 3 | 201.95 |
| 4 | 88.19 |
| 5 | 150.94 |
| 6 | 112.21 |
| 7 | 66.24 |
| 8 | 95.39 |
| 9 | 174.56 |
| 10 | 175.37 |
| 11 | 176.67 |
| 12 | 65.23 |